[1]
# Nb2CdBiN

Nb2CdBiN after structural relaxation (PBE, Alexandria).

a b c (Å): 5.3832 5.3832 4.3361
angles (deg): 90.00 90.00 90.00
Space group P4/mmm (No. 123)
One atom of each set of equivalent atoms:
Nb1 0.0000 0.5000 0.0000 [2 per cell]
Cd1 0.0000 0.0000 0.5000 [1 per cell]
Bi1 0.5000 0.5000 0.0000 [1 per cell]
N1 0.5000 0.5000 0.5000 [1 per cell]

## Properties
ΔE_f (raw), kJ/mol of atoms: 192
Calculated total energy, Ha/atom: -0.1714

=====

[2]
# CdBiNO2

CdBiNO2 after structural relaxation (PBE, Alexandria).

a b c (Å): 4.2070 4.2070 4.3581
angles (deg): 90.00 90.00 90.00
Space group P4/mmm (No. 123)
One atom of each set of equivalent atoms:
Cd1 0.0000 0.0000 0.0000 [1 per cell]
Bi1 0.5000 0.5000 0.5000 [1 per cell]
N1 0.5000 0.5000 0.0000 [1 per cell]
O1 0.0000 0.5000 0.5000 [2 per cell]

## Properties
ΔE_f (raw), kJ/mol of atoms: 21
Calculated total energy, Ha/atom: -0.1612

=====

[3]
# CdBiNO2

CdBiNO2 after structural relaxation (PBE, Alexandria).

a b c (Å): 4.1312 4.1312 4.2679
angles (deg): 90.00 90.00 90.00
Space group P4/mmm (No. 123)
One atom of each set of equivalent atoms:
Cd1 0.0000 0.0000 0.0000 [1 per cell]
Bi1 0.5000 0.5000 0.5000 [1 per cell]
N1 0.0000 0.0000 0.5000 [1 per cell]
O1 0.0000 0.5000 0.0000 [2 per cell]

## Properties
ΔE_f (raw), kJ/mol of atoms: 44
Calculated total energy, Ha/atom: -0.1524